Entry from the Alexandria database: a relaxed structure of CoPdPb2O6 (GGA+U).

Lattice parameters (Å, degrees): 5.588 5.588 4.245 90.00 90.00 90.00
Sites, in units of the cell vectors:
Co 0.000 0.000 0.000
Pd 0.500 0.500 0.071
Pb 0.000 0.500 0.464
Pb 0.500 0.000 0.464
O 0.000 0.000 0.593
O 0.246 0.246 0.122
O 0.246 0.754 0.122
O 0.500 0.500 0.585
O 0.754 0.246 0.122
O 0.754 0.754 0.122

- total magnetic moment (Bohr magnetons per cell) = 3.91
- uncorrected energy (eV per atom) = -5.409
- mass density (g cm⁻³) = 8.46